Entry from Alexandria: a relaxed structure of KH4PbI3O2 (PBEsol).

Cell: 10.250 21.891 4.472 Å, 90.00 90.00 90.00°
Space group Pna2_1 (No. 33)
Asymmetric unit:
K: 0.151 0.199 0.000 (multiplicity 4)
H: 0.015 0.002 0.297 (multiplicity 4)
H: 0.026 0.855 0.004 (multiplicity 4)
H: 0.074 0.090 0.499 (multiplicity 4)
H: 0.141 0.988 0.495 (multiplicity 4)
Pb: 0.045 0.406 0.492 (multiplicity 4)
I: 0.079 0.721 0.997 (multiplicity 4)
I: 0.161 0.549 0.491 (multiplicity 4)
I: 0.245 0.872 0.491 (multiplicity 4)
O: 0.060 0.012 0.494 (multiplicity 4)
O: 0.068 0.136 0.501 (multiplicity 4)

***

Entry from Alexandria: a relaxed structure of K2NaGaAs2 (PBEsol).

Cell: 6.696 14.759 6.540 Å, 90.00 90.00 90.00°
Space group Ibam (No. 72)
Asymmetric unit:
K: 0.245 0.173 0.000 (multiplicity 8)
Na: 0.000 0.000 0.250 (multiplicity 4)
Ga: 0.000 0.500 0.250 (multiplicity 4)
As: 0.202 0.404 0.000 (multiplicity 8)

***

Entry from Alexandria: a relaxed structure of NaTa3O8 (PBEsol).

Summary:
The formation energy (no corrections) is -2.785 eV per atom.

Cell: 7.231 10.492 6.954 Å, 90.00 90.00 90.00°
Space group Ibam (No. 72)
Asymmetric unit:
Na: 0.000 0.000 0.250 (multiplicity 4)
Ta: 0.000 0.500 0.250 (multiplicity 4)
Ta: 0.234 0.266 0.000 (multiplicity 8)
O: 0.008 0.175 0.500 (multiplicity 8)
O: 0.122 0.436 0.000 (multiplicity 8)
O: 0.191 0.355 0.294 (multiplicity 16)

***

Entry from Alexandria: a relaxed structure of MgTa2W (PBEsol).

Cell: 2.740 4.661 5.472 Å, 90.00 99.21 90.00°
Space group Pm (No. 6)
Asymmetric unit:
Mg: 0.000 0.000 0.000 (multiplicity 1)
Ta: 0.462 0.000 0.510 (multiplicity 1)
Ta: 0.742 0.500 0.262 (multiplicity 1)
W: 0.233 0.500 0.743 (multiplicity 1)

***

Entry from Alexandria: a relaxed structure of NiAg2Cl (PBEsol).

Summary:
The distance to the lowest polymorph of the same formula is 0.18 eV per formula unit. The formation energy (no corrections) is 0.428 eV per atom.

Cell: 4.015 4.015 7.853 Å, 90.00 90.00 90.00°
Space group I-4m2 (No. 119)
Asymmetric unit:
Ni: 0.000 0.000 0.000 (multiplicity 2)
Ag: 0.000 0.000 0.500 (multiplicity 2)
Ag: 0.000 0.500 0.250 (multiplicity 2)
Cl: 0.000 0.500 0.750 (multiplicity 2)

***

Entry from Alexandria: a relaxed structure of KGeRh2I (PBEsol).

Summary:
The formation energy (no corrections) is 1.884 eV per atom.

Cell: 4.657 4.657 5.754 Å, 90.00 90.00 90.00°
Space group P4/mmm (No. 123)
Asymmetric unit:
K: 0.000 0.000 0.000 (multiplicity 1)
Ge: 0.500 0.500 0.500 (multiplicity 1)
Rh: 0.000 0.500 0.000 (multiplicity 2)
I: 0.000 0.000 0.500 (multiplicity 1)

***

For the records above, the corresponding calculated volume values read 1003.40; 646.35; 527.56; 69.00; 126.58; 124.82 Å³/cell.
For the records above, the corresponding electronic total energy values read -45.170; -20.188; -114.466; -39.576; -13.076; -14.695 eV per formula unit.